KMgRu2 (PBE, optimized geometry); total DFT energy (no corrections) = -16.7 eV/cell; space group = No. 139; ΔE_f = 1.13 eV per atom; density = 5.93 g/cm3
1.0
5.497 0.003 0.000
2.632 4.826 0.000
-4.064 -2.415 2.805
K Mg Ru
1 1 2
Direct
0.250 0.750 0.500 K
0.750 0.250 0.500 Mg
0.000 0.000 0.000 Ru
0.500 0.500 0.000 Ru

***

Sr3DyTm3Se8 (PBE, optimized geometry); total DFT energy (no corrections) = -79.5 eV/cell; ΔE_f (raw) = -28.600 eV/f.u.; space group = No. 166; density = 6.20 g/cm3
1.0
-7.364 3.304 -1.707
1.782 -7.643 -2.547
-1.321 1.365 8.343
Sr Dy Tm Se
3 1 3 8
Direct
0.000 0.000 0.000 Sr
0.000 0.500 0.000 Sr
0.500 0.500 0.000 Sr
0.000 0.000 0.500 Dy
0.500 0.000 0.500 Tm
0.500 0.500 0.500 Tm
0.000 0.500 0.500 Tm
0.258 0.516 0.274 Se
0.742 0.484 0.726 Se
0.755 0.511 0.274 Se
0.245 0.489 0.726 Se
0.755 0.019 0.275 Se
0.245 0.981 0.725 Se
0.264 0.019 0.275 Se
0.736 0.981 0.725 Se

***

K2ScTa (PBE, optimized geometry); total DFT energy (no corrections) = -15.4 eV/cell; space group = No. 65; ΔE_f = 1.24 eV per atom; density = 4.18 g/cm3
1.0
-5.517 2.651 -3.960
0.352 -5.847 4.340
-0.866 1.677 2.330
K Sc Ta
2 1 1
Direct
0.000 0.000 0.000 K
0.500 0.500 0.000 K
0.500 0.000 0.500 Sc
0.000 0.500 0.500 Ta

***

BaCa2As (PBE, optimized geometry); total DFT energy (no corrections) = -12.9 eV/cell; space group = No. 65; ΔE_f = -0.59 eV per atom; density = 2.74 g/cm3
1.0
4.318 0.000 0.000
0.000 7.023 -0.011
0.000 3.920 5.830
As Ca Ba
1 2 1
Direct
0.500 0.250 0.250 As
0.000 0.093 0.093 Ca
0.000 0.407 0.407 Ca
0.500 0.750 0.750 Ba

***

LaNiIr3 (PBE, optimized geometry); total DFT energy (no corrections) = -35.0 eV/cell; space group = No. 221; ΔE_f = 0.45 eV per atom; density = 13.22 g/cm3
1.0
4.598 0.000 0.000
0.000 4.598 0.000
0.000 0.000 4.598
Ni Ir La
1 3 1
Direct
0.000 0.000 0.000 Ni
0.000 0.500 0.000 Ir
0.000 0.000 0.500 Ir
0.500 0.000 0.000 Ir
0.500 0.500 0.500 La

***

Ac5TbTl4 (PBE, optimized geometry); total DFT energy (no corrections) = -37.2 eV/cell; space group = No. 123; ΔE_f = -0.26 eV per atom; density = 9.71 g/cm3
1.0
3.943 0.000 0.000
0.000 3.943 0.000
0.000 0.000 23.218
Ac Tb Tl
5 1 4
Direct
0.500 0.500 0.110 Ac
0.500 0.500 0.304 Ac
0.500 0.500 0.500 Ac
0.500 0.500 0.696 Ac
0.500 0.500 0.890 Ac
0.000 0.000 0.000 Tb
0.000 0.000 0.207 Tl
0.000 0.000 0.402 Tl
0.000 0.000 0.598 Tl
0.000 0.000 0.793 Tl